Material: Sr2Hg3Au
Method: DFT, PBE-GGA
State: optimized geometry

Summary:
Space-group type = Fmmm (69)
Electronic total energy = -1.804 eV per atom
Total magnetic moment = 0.000 μB/cell
ΔE_f = -0.55 eV per atom

Unit cell a=6.4323 b=6.4323 c=9.9826 alpha=113.41 beta=113.41 gamma=76.53
Positions (direct):
Hg: 0.1676 0.1676 0.8303
Hg: 0.3374 0.3374 0.1697
Sr: 0.2500 0.7500 0.5000
Hg: 0.8324 0.8324 0.1697
Au: 0.3347 0.3347 0.6694
Hg: 0.8310 0.8310 0.6619
Hg: 0.1690 0.1690 0.3381
Sr: 0.7500 0.2500 0.5000
Sr: 0.2540 0.7460 0.0000
Sr: 0.7460 0.2540 0.0000
Au: 0.6653 0.6653 0.3306
Hg: 0.6626 0.6626 0.8303

Material: CaBe2Re
Method: DFT, PBE-GGA
State: optimized geometry

Summary:
Space-group type = R-3m (166)
Electronic total energy = -4.784 eV per atom
Total magnetic moment = 0.045 μB/cell
ΔE_f = 0.69 eV per atom
ΔE to the lowest computed polymorph = 0.403 eV per atom

Unit cell a=8.8202 b=8.8202 c=8.8202 alpha=18.57 beta=18.57 gamma=18.57
Positions (direct):
Be: 0.4879 0.4879 0.4879
Re: 0.7500 0.7500 0.7500
Ca: 0.2500 0.2500 0.2500
Be: 0.0121 0.0121 0.0121

Material: CrP2Se
Method: DFT, PBE-GGA
State: optimized geometry

Summary:
Space-group type = Immm (71)
Electronic total energy = -5.624 eV per atom
Total magnetic moment = 1.653 μB/cell
Uncorrected formation energy = 0.358 eV per atom

Unit cell a=5.7816 b=5.7816 c=5.7816 alpha=150.27 beta=136.10 gamma=53.91
Site moments in Bohr magnetons follow the coordinates.
Positions (direct):
P: 0.0665 0.0665 0.0000  -0.05
Cr: 0.2500 0.7500 0.5000  1.71
Se: 0.7500 0.2500 0.5000  -0.04
P: 0.4335 0.4335 0.0000  -0.05

Material: Ag2BrCl
Method: DFT, PBE-GGA
State: optimized geometry

Summary:
Space-group type = C2/m (12)
Electronic total energy = -2.663 eV per atom
Total magnetic moment = 0.000 μB/cell
ΔE to the lowest computed polymorph = 0.032 eV per atom
Uncorrected formation energy = -0.358 eV per atom

Unit cell a=4.0533 b=4.0533 c=6.9912 alpha=72.95 beta=72.95 gamma=59.92
Positions (direct):
Br: 0.2500 0.2500 0.2500
Ag: 0.4967 0.4967 0.5092
Cl: 0.7500 0.7500 0.7500
Ag: 0.0033 0.0033 0.9908

Material: SmEr8Sc2
Method: DFT, PBE-GGA
State: optimized geometry

Summary:
Space-group type = C2/m (12)
Electronic total energy = -4.724 eV per atom
Total magnetic moment = 0.000 μB/cell
ΔE_f = 0.17 eV per atom

Unit cell a=5.8100 b=9.0366 c=9.4552 alpha=61.45 beta=72.41 gamma=50.77
Positions (direct):
Sc: 0.0000 0.3127 0.3746
Er: 0.2235 0.6386 0.2650
Sm: 0.5000 0.0000 0.0000
Er: 0.2235 0.9036 0.7350
Er: 0.7765 0.3614 0.7350
Sc: 0.0000 0.6873 0.6254
Er: 0.7489 0.5112 0.0000
Er: 0.2511 0.4888 0.0000
Er: 0.5000 0.7975 0.4050
Er: 0.7765 0.0964 0.2650
Er: 0.5000 0.2025 0.5950

Material: Er4PdRh3
Method: DFT, PBE-GGA
State: optimized geometry

Summary:
Space-group type = P4/mmm (123)
Electronic total energy = -6.623 eV per atom
Total magnetic moment = 0.000 μB/cell
ΔE_f = -0.94 eV per atom

Unit cell a=4.7886 b=6.9387 c=9.5772 alpha=90.00 beta=90.00 gamma=90.00
Positions (direct):
Rh: 0.0000 0.0000 0.0000
Er: 0.0002 0.7529 0.7500
Er: 0.9998 0.2471 0.2500
Er: 0.5000 0.2472 0.0000
Er: 0.5000 0.7528 0.0000
Pd: 0.0000 0.5000 0.5000
Rh: 0.4998 0.0000 0.2500
Rh: 0.5002 0.5000 0.7500
Rh: 0.4998 0.5000 0.2500
Pd: 0.0000 0.5000 0.0000
Er: 0.0002 0.2471 0.7500
Er: 0.5000 0.2472 0.5000
Rh: 0.0000 0.0000 0.5000
Rh: 0.5002 0.0000 0.7500
Er: 0.5000 0.7528 0.5000
Er: 0.9998 0.7529 0.2500